1.
Crystalline ErScInIr at its relaxed geometry. Source: Alexandria via LeMat-Bulk, functional PBE.

abc: 3.2311 3.2311 8.1865
angles: 90.00 90.00 90.00
Closest atoms and distances in Å follow each position.
Space group P4mm (No. 99)
Symmetry-distinct sites (fractional):
Er 0.0000 0.0000 0.0000 (multiplicity 1)  4 Ir 2.93, 4 Er 3.23
Sc 0.0000 0.0000 0.5823 (multiplicity 1)  4 Ir 2.78
In 0.5000 0.5000 0.3028 (multiplicity 1)  4 In 3.23, 4 Sc 3.23, 4 Er 3.37
Ir 0.5000 0.5000 0.7754 (multiplicity 1)  4 Sc 2.78, 4 Er 2.93

## Properties
Total magnetic moment (Bohr magnetons per cell): 0.0
Formation energy (eV per atom): -0.71
Polymorph energy (0 for the lowest one) (eV/atom): 0.000

=====

2.
Crystalline Er2InSi2Ir5 at its relaxed geometry. Source: Alexandria via LeMat-Bulk, functional PBE.

abc: 9.7277 9.7277 3.5624
angles: 90.00 90.00 90.00
Closest atoms and distances in Å follow each position.
Space group P4/mbm (No. 127)
Symmetry-distinct sites (fractional):
Er 0.1754 0.3246 0.0000 (multiplicity 4)  3 Si 2.77-2.95, 6 Ir 3.00-3.09
In 0.0000 0.0000 0.0000 (multiplicity 2)  8 Ir 2.84
Si 0.1229 0.6229 0.0000 (multiplicity 4)  6 Ir 2.43-2.46
Ir 0.0000 0.5000 0.5000 (multiplicity 2)  4 Si 2.46
Ir 0.0686 0.7836 0.5000 (multiplicity 8)  2 Si 2.43

## Properties
Total magnetic moment (Bohr magnetons per cell): 0.0
ΔE_f (raw) (eV per atom): -0.83

=====

3.
Crystalline YErInIr at its relaxed geometry. Source: Alexandria via LeMat-Bulk, functional PBE.

abc: 7.1522 7.1522 7.1522
angles: 90.00 90.00 90.00
Closest atoms and distances in Å follow each position.
Space group F-43m (No. 216)
Symmetry-distinct sites (fractional):
Y 0.0000 0.0000 0.0000 (multiplicity 4)  4 Ir 3.10, 4 In 3.10
Er 0.0000 0.0000 0.5000 (multiplicity 4)  4 In 3.10, 4 Ir 3.10
In 0.2500 0.2500 0.7500 (multiplicity 4)  4 Er 3.10, 4 Y 3.10
Ir 0.2500 0.2500 0.2500 (multiplicity 4)  4 Er 3.10, 4 Y 3.10

## Properties
Total magnetic moment (Bohr magnetons per cell): 0.0
Formation energy (eV per atom): -0.57

=====

4.
Crystalline ErZnInIr at its relaxed geometry. Source: Alexandria via LeMat-Bulk, functional PBE.

abc: 6.7277 6.7277 6.7277
angles: 90.00 90.00 90.00
Closest atoms and distances in Å follow each position.
Space group F-43m (No. 216)
Symmetry-distinct sites (fractional):
Er 0.0000 0.0000 0.0000 (multiplicity 4)  4 Ir 2.91, 4 Zn 2.91
Zn 0.2500 0.2500 0.2500 (multiplicity 4)  4 In 2.91, 4 Er 2.91
In 0.0000 0.0000 0.5000 (multiplicity 4)  4 Ir 2.91, 4 Zn 2.91
Ir 0.2500 0.2500 0.7500 (multiplicity 4)  4 In 2.91, 4 Er 2.91

## Properties
Total magnetic moment (Bohr magnetons per cell): 0.0
Formation energy (eV per atom): -0.41

=====

5.
Crystalline KErIn4 at its relaxed geometry. Source: Alexandria via LeMat-Bulk, functional PBE.

abc: 8.7209 8.7209 8.7209
angles: 90.00 90.00 90.00
Closest atoms and distances in Å follow each position.
Space group F-43m (No. 216)
Symmetry-distinct sites (fractional):
K 0.0000 0.0000 0.0000 (multiplicity 4)  12 In 3.62, 4 Er 3.78
Er 0.2500 0.2500 0.7500 (multiplicity 4)  12 In 3.61, 4 K 3.78
In 0.1247 0.1247 0.3753 (multiplicity 16)  6 In 3.07-3.09

## Properties
Total magnetic moment (Bohr magnetons per cell): 0.0
Formation energy (eV per atom): -0.12

=====

6.
Crystalline K3Er2InO6 at its relaxed geometry. Source: Alexandria via LeMat-Bulk, functional PBE.

abc: 5.9120 10.2400 6.5523
angles: 90.00 107.47 90.00
Closest atoms and distances in Å follow each position.
Space group C2/m (No. 12)
Symmetry-distinct sites (fractional):
K 0.0000 0.0000 0.0000 (multiplicity 2)  6 O 2.78
K 0.0000 0.3357 0.0000 (multiplicity 4)  6 O 2.76-2.80
Er 0.0000 0.1667 0.5000 (multiplicity 4)  6 O 2.29
In 0.0000 0.5000 0.5000 (multiplicity 2)  6 O 2.28-2.29
O 0.2283 0.3338 0.6865 (multiplicity 8)  1 In 2.29, 2 Er 2.29
O 0.2296 0.0000 0.6860 (multiplicity 4)  1 In 2.28, 2 Er 2.29

## Properties
Total magnetic moment (Bohr magnetons per cell): 0.0
ΔE_f (raw) (eV per atom): -2.37

=====

Q: total magnetic moment of number 5 (KErIn4)?
A: 0.0 Bohr magnetons per cell

=====

Q: What is the formula in the sixth record?
A: K3Er2InO6

=====

Q: total magnetic moment of number 2 (Er2InSi2Ir5)?
A: 0.0 Bohr magnetons per cell

=====

Q: What is the formula in the first record?
A: ErScInIr